[1]
ZrTaFeBr2 | Alexandria via LeMat-Bulk | SCAN | single point on PBEsol structure; formation energy from raw total energies = 0.9392 eV/atom
1.0
4.603 0.000 0.000
0.000 4.603 0.000
0.000 0.000 4.693
Zr Ta Fe Br
1 1 1 2
direct
0.000 0.000 0.000
0.500 0.500 0.000
0.500 0.500 0.500
0.000 0.500 0.500
0.500 0.000 0.500

[2]
Fe2TcBr | Alexandria via LeMat-Bulk | SCAN | single point on PBEsol structure; formation energy from raw total energies = 0.8232 eV/atom
1.0
2.880 0.000 0.000
0.000 4.296 0.000
0.000 0.000 4.368
Fe Tc Br
2 1 1
direct
0.000 0.000 0.000
0.500 0.500 0.000
0.000 0.500 0.500
0.500 0.000 0.500

[3]
Fe2TcBr | Alexandria via LeMat-Bulk | SCAN | single point on PBEsol structure; formation energy from raw total energies = 0.8320 eV/atom
1.0
-1.453 2.165 4.288
1.453 -2.165 4.288
1.453 2.165 -4.288
Fe Tc Br
2 1 1
direct
0.000 0.000 0.000
0.764 0.264 0.500
0.272 0.772 0.500
0.518 0.518 0.000

[4]
Fe2TcBr | Alexandria via LeMat-Bulk | SCAN | single point on PBEsol structure; formation energy from raw total energies = 0.6480 eV/atom
1.0
2.867 0.000 0.000
0.000 2.867 0.000
0.000 0.000 6.575
Fe Tc Br
2 1 1
direct
0.000 0.000 0.241
0.000 0.000 0.759
0.500 0.500 0.000
0.500 0.500 0.500

no.,calculated volume (Å³/cell)
1,99.4
2,54.0
3,53.9
4,54.1